Entry 1:
VASP calculation (PBE) on crystalline ErSc5Al6 at its relaxed geometry.

a b c (Å): 15.2696 6.7595 4.8402
angles (deg): 90.00 108.02 90.00
With the nearest neighbours (Å) after each atom.
Space group C2/m (No. 12)
Unique sites:
Er (0.0000, 0.0000, 0.0000) x2  8 Al 3.01-3.03, 2 Sc 3.37
Sc (0.0000, 0.5000, 0.0000) x2  8 Al 2.89-2.97
Sc (0.1629, 0.0000, 0.6625) x4  8 Al 2.92-2.98
Sc (0.1687, 0.5000, 0.6684) x4  8 Al 2.92
Al (0.0000, 0.2659, 0.5000) x4  6 Sc 2.89-2.97, 2 Er 3.01, 1 Al 3.16
Al (0.1703, 0.2580, 0.1698) x8  7 Sc 2.92-2.98, 1 Er 3.03

Values from the calculation:
Mass density   3.9 Mg/m³
Fermi-level density of states   9.0 states/eV/cell
Energy   -0.3913 Ry per atom

---

Entry 2:
VASP calculation (PBE) on crystalline CaAcBi2 at its relaxed geometry.

a b c (Å): 8.6001 4.9559 7.6534
angles (deg): 90.00 111.93 90.00
With the nearest neighbours (Å) after each atom.
Space group C2/m (No. 12)
Unique sites:
Ca (0.0000, 0.0000, 0.0000) x2  6 Bi 3.31
Ac (0.0000, 0.5000, 0.5000) x2  6 Bi 3.43
Bi (0.2447, 0.5000, 0.2343) x4  3 Ca 3.31, 3 Ac 3.43

Values from the calculation:
Mass density   7.5 Mg/m³
Fermi-level density of states   6.8 states/eV/cell
Energy   -0.3120 Ry per atom

---

Number 1: E_form -434 meV/atom. Number 2: E_form -777 meV/atom.